# 1
Compound: PaTl2Sb2O6
Source: the Alexandria database
Functional: PBE-GGA
Structure: relaxed

a = 9.7812 Å, b = 7.2787 Å, c = 6.4620 Å
α = 90.00°, β = 108.75°, γ = 90.00°
Space group C2/m (No. 12)
Inequivalent atoms, fractional coordinates:
Pa (0.0000, 0.0000, 0.0000) (multiplicity 2)
Tl (0.1873, 0.0000, 0.6031) (multiplicity 4)
Sb (0.0477, 0.5000, 0.7599) (multiplicity 4)
O (0.0313, 0.2049, 0.7792) (multiplicity 8)
O (0.2421, 0.0000, 0.1715) (multiplicity 4)

Calculated values
The total energy is -6.46 eV per atom. Its uncorrected formation energy is -1.716 eV per atom. As for the crystal system: monoclinic.

---

# 2
Compound: PaTlSbO6
Source: the Alexandria database
Functional: PBE-GGA
Structure: relaxed

a = 7.5629 Å, b = 8.1090 Å, c = 11.0615 Å
α = 90.00°, β = 90.00°, γ = 90.00°
Space group Imma (No. 74)
Inequivalent atoms, fractional coordinates:
Pa (0.0000, 0.0000, 0.0000) (multiplicity 4)
Tl (0.0000, 0.2500, 0.4535) (multiplicity 4)
Sb (0.2500, 0.2500, 0.7500) (multiplicity 4)
O (0.0000, 0.2500, 0.0611) (multiplicity 4)
O (0.0000, 0.2500, 0.6874) (multiplicity 4)
O (0.2016, 0.0784, 0.8749) (multiplicity 16)

Calculated values
The total energy is -7.06 eV per atom. Its uncorrected formation energy is -1.977 eV per atom. As for the crystal system: orthorhombic.

---

# 3
Compound: PaTl2Sb3O12
Source: the Alexandria database
Functional: PBE-GGA
Structure: relaxed

a = 7.4207 Å, b = 7.4207 Å, c = 19.3696 Å
α = 90.00°, β = 90.00°, γ = 120.00°
Space group R-3m (No. 166, hexagonal axes)
Inequivalent atoms, fractional coordinates:
Pa (0.0000, 0.0000, 0.0000) (multiplicity 3)
Tl (0.0000, 0.0000, 0.3995) (multiplicity 6)
Sb (0.0000, 0.5000, 0.5000) (multiplicity 9)
O (0.0649, 0.5324, 0.8530) (multiplicity 18)
O (0.0655, 0.5328, 0.6005) (multiplicity 18)

Calculated values
The total energy is -6.33 eV per atom. Its uncorrected formation energy is -1.543 eV per atom. As for the crystal system: trigonal.

---

# 4
Compound: PaTlSbO5
Source: the Alexandria database
Functional: PBE-GGA
Structure: relaxed

a = 7.9426 Å, b = 10.4539 Å, c = 8.3181 Å
α = 90.00°, β = 116.22°, γ = 90.00°
Space group C2/c (No. 15)
Inequivalent atoms, fractional coordinates:
Pa (0.0000, 0.0000, 0.0000) (multiplicity 4)
Tl (0.0000, 0.3208, 0.2500) (multiplicity 4)
Sb (0.0000, 0.3141, 0.7500) (multiplicity 4)
O (0.0000, 0.0529, 0.2500) (multiplicity 4)
O (0.0856, 0.1981, 0.6038) (multiplicity 8)
O (0.2065, 0.4355, 0.8963) (multiplicity 8)

Calculated values
The total energy is -7.19 eV per atom. Its uncorrected formation energy is -2.094 eV per atom. As for the crystal system: monoclinic.

---

# 5
Compound: Tm2PaSbO8
Source: the Alexandria database
Functional: PBE-GGA
Structure: relaxed

a = 6.9320 Å, b = 7.1548 Å, c = 6.8346 Å
α = 90.00°, β = 90.00°, γ = 90.00°
Space group Cmmm (No. 65)
Inequivalent atoms, fractional coordinates:
Tm (0.0000, 0.0000, 0.2402) (multiplicity 4)
Pa (0.0000, 0.5000, 0.5000) (multiplicity 2)
Sb (0.0000, 0.5000, 0.0000) (multiplicity 2)
O (0.0000, 0.3151, 0.2305) (multiplicity 8)
O (0.1975, 0.0000, 0.5000) (multiplicity 4)
O (0.2138, 0.0000, 0.0000) (multiplicity 4)

Calculated values
The total energy is -8.18 eV per atom. Its uncorrected formation energy is -2.997 eV per atom. As for the crystal system: orthorhombic.

---

# 6
Compound: TmPaSb2O8
Source: the Alexandria database
Functional: PBE-GGA
Structure: relaxed

a = 6.2483 Å, b = 6.2483 Å, c = 6.4503 Å
α = 90.00°, β = 90.00°, γ = 120.00°
Space group P-3m1 (No. 164)
Inequivalent atoms, fractional coordinates:
Tm (0.0000, 0.0000, 0.0000) (multiplicity 1)
Pa (0.0000, 0.0000, 0.5000) (multiplicity 1)
Sb (0.3333, 0.6667, 0.6968) (multiplicity 2)
O (0.1431, 0.2863, 0.7476) (multiplicity 6)
O (0.3333, 0.6667, 0.4082) (multiplicity 2)

Calculated values
The total energy is -7.22 eV per atom. Its uncorrected formation energy is -2.065 eV per atom. As for the crystal system: trigonal.

---

# 7
Compound: TmPaSbO6
Source: the Alexandria database
Functional: PBE-GGA
Structure: relaxed

a = 5.5675 Å, b = 5.5675 Å, c = 9.6455 Å
α = 90.00°, β = 90.00°, γ = 120.00°
Space group P-31c (No. 163)
Inequivalent atoms, fractional coordinates:
Tm (0.3333, 0.6667, 0.2500) (multiplicity 2)
Pa (0.0000, 0.0000, 0.0000) (multiplicity 2)
Sb (0.3333, 0.6667, 0.7500) (multiplicity 2)
O (0.0130, 0.3360, 0.6296) (multiplicity 12)

Calculated values
The total energy is -8.06 eV per atom. Its uncorrected formation energy is -2.740 eV per atom. As for the crystal system: trigonal.